Run a
Rb2SiBr: optimized geometry, PBE-GGA.

Summary:
**ρ**: 2.1 g/cm³
**Space group**: I-42d
**Volume**: 54.9 Å³ per atom

Cell: 9.1366 9.1366 8.3311 Å, 56.75 56.75 90.00°
Closest atoms and distances in Å follow each position.
Sites, in units of the cell vectors:
Rb 0.3750 0.3540 0.7500  2 Br 3.37, 2 Si 3.62
Rb 0.6460 0.1250 0.2500  2 Br 3.37, 2 Si 3.62
Rb 0.8750 0.8960 0.7500  2 Br 3.37, 2 Si 3.62
Si 0.5000 0.5000 0.0000  4 Rb 3.62
Br 0.0000 0.0000 0.0000  4 Rb 3.37
Si 0.2500 0.7500 0.5000  4 Rb 3.62
Br 0.7500 0.2500 0.5000  4 Rb 3.37
Rb 0.1040 0.6250 0.2500  2 Br 3.37, 2 Si 3.62

Run b
Rb2SiBr: optimized geometry, PBE-GGA.

Summary:
**ρ**: 2.9 g/cm³
**Space group**: Fm-3m
**Volume**: 40.4 Å³ per atom

Cell: 6.1117 6.1117 6.1117 Å, 60.00 60.00 60.00°
Closest atoms and distances in Å follow each position.
Sites, in units of the cell vectors:
Si 0.0000 0.0000 0.0000  8 Rb 3.74
Rb 0.7500 0.7500 0.7500  4 Br 3.74, 4 Si 3.74
Rb 0.2500 0.2500 0.2500  4 Br 3.74, 4 Si 3.74
Br 0.5000 0.5000 0.5000  8 Rb 3.74

Energies in meV/atom, measured from the most stable structure: run a 41; run b 0.

Run a
RbSiBr2: optimized geometry, PBE-GGA.

Summary:
**ρ**: 2.8 g/cm³
**Space group**: R-3m
**Volume**: 40.9 Å³ per atom

Cell: 9.9218 9.9218 9.9218 Å, 25.87 25.87 25.87°
Closest atoms and distances in Å follow each position.
Sites, in units of the cell vectors:
Rb 0.5000 0.5000 0.5000  6 Br 3.38
Br 0.0903 0.0903 0.0903  1 Si 2.60
Si 0.0000 0.0000 0.0000  2 Br 2.60
Br 0.9097 0.9097 0.9097  1 Si 2.60

Run b
RbSiBr2: optimized geometry, PBE-GGA.

Summary:
**ρ**: 2.6 g/cm³
**Space group**: I-42d
**Volume**: 43.2 Å³ per atom

Cell: 6.4264 6.4264 9.5165 Å, 70.27 70.27 90.00°
Closest atoms and distances in Å follow each position.
Sites, in units of the cell vectors:
Si 0.2500 0.7500 0.5000  4 Br 2.82
Br 0.8750 0.7817 0.7500  2 Si 2.82
Rb 0.7500 0.2500 0.5000  4 Br 3.44
Rb 0.0000 0.0000 0.0000  4 Br 3.44
Br 0.5317 0.1250 0.2500  2 Si 2.82
Br 0.2183 0.6250 0.2500  2 Si 2.82
Br 0.3750 0.4683 0.7500  2 Si 2.82
Si 0.5000 0.5000 0.0000  4 Br 2.82

Energies in meV/atom, measured from the most stable structure: run a 19; run b 0.